No. 1
K3PrBr6: optimized geometry, PBE-GGA.

abc: 7.987 8.527 13.800
angles: 90.00 123.71 90.00
Atoms (fractional coordinates):
K (0.000, 0.000, 0.000)
K (0.000, 0.500, 0.500)
K (0.207, 0.079, 0.739)
K (0.207, 0.421, 0.239)
K (0.793, 0.579, 0.761)
K (0.793, 0.921, 0.261)
Pr (0.500, 0.000, 0.500)
Pr (0.500, 0.500, 0.000)
Br (0.145, 0.182, 0.439)
Br (0.145, 0.318, 0.939)
Br (0.248, 0.716, 0.418)
Br (0.248, 0.784, 0.918)
Br (0.407, 0.063, 0.266)
Br (0.407, 0.437, 0.766)
Br (0.593, 0.563, 0.234)
Br (0.593, 0.937, 0.734)
Br (0.752, 0.216, 0.082)
Br (0.752, 0.284, 0.582)
Br (0.855, 0.682, 0.061)
Br (0.855, 0.818, 0.561)

Calculated values
VASP energy, eV per cell: -72.7
Crystal system: monoclinic
Raw formation energy, eV per atom: -1.823
ρ, g/cm3: 3.13

=====

No. 2
CdReRu2: optimized geometry, PBE-GGA.

abc: 5.456 5.456 5.456
angles: 149.84 127.85 61.43
Atoms (fractional coordinates):
Cd (0.000, 0.000, 0.000)
Re (0.500, 0.500, 0.000)
Ru (0.272, 0.772, 0.500)
Ru (0.728, 0.228, 0.500)

Calculated values
VASP energy, eV per cell: -29.8
Calculated formation energy, eV per atom: 0.5294
Crystal system: orthorhombic
ρ, g/cm3: 13.02

=====

No. 3
Zr6TcOs: optimized geometry, PBE-GGA.

abc: 8.168 8.168 8.168
angles: 146.73 146.73 47.77
Atoms (fractional coordinates):
Zr (0.108, 0.608, 0.500)
Zr (0.249, 0.249, 0.000)
Zr (0.392, 0.892, 0.500)
Zr (0.608, 0.108, 0.500)
Zr (0.751, 0.751, 0.000)
Zr (0.892, 0.392, 0.500)
Tc (0.000, 0.000, 0.000)
Os (0.500, 0.500, 0.000)

Calculated values
VASP energy, eV per cell: -74.7
Calculated formation energy, eV per atom: -0.2262
Crystal system: tetragonal
ρ, g/cm3: 8.49

=====

No. 4
Mn3CrPt: optimized geometry, PBE-GGA.

abc: 4.853 4.853 4.853
angles: 90.00 90.00 90.00
Atoms (fractional coordinates):
Mn (0.000, 0.000, 0.500)
Mn (0.000, 0.500, 0.000)
Mn (0.500, 0.000, 0.000)
Cr (0.500, 0.500, 0.500)
Pt (0.000, 0.000, 0.000)

Calculated values
VASP energy, eV per cell: -38.5
Calculated formation energy, eV per atom: 0.9403
Crystal system: cubic
ρ, g/cm3: 5.98

=====

No. 5
NdErTm2Bi4: optimized geometry, PBE-GGA.

abc: 7.761 4.487 7.763
angles: 90.00 109.50 90.00
Atoms (fractional coordinates):
Nd (0.000, 0.000, 0.000)
Er (0.000, 0.500, 0.500)
Tm (0.500, 0.000, 0.500)
Tm (0.500, 0.500, 0.000)
Bi (0.255, 0.000, 0.747)
Bi (0.258, 0.500, 0.258)
Bi (0.742, 0.500, 0.742)
Bi (0.745, 0.000, 0.253)

Calculated values
VASP energy, eV per cell: -40.4
Calculated formation energy, eV per atom: -0.8249
Crystal system: monoclinic
ρ, g/cm3: 9.68

=====

No. 6
ZnSb2H: optimized geometry, PBE-GGA.

abc: 5.844 5.844 5.844
angles: 107.31 107.31 113.89
Atoms (fractional coordinates):
Zn (0.000, 0.000, 0.000)
Zn (0.750, 0.250, 0.500)
Sb (0.200, 0.625, 0.075)
Sb (0.375, 0.450, 0.575)
Sb (0.550, 0.125, 0.925)
Sb (0.875, 0.800, 0.425)
H (0.250, 0.750, 0.500)
H (0.500, 0.500, 0.000)

Calculated values
VASP energy, eV per cell: -22.5
Crystal system: tetragonal
ρ, g/cm3: 6.73

=====

No. 7
LaCoTe2: optimized geometry, PBE-GGA.

abc: 4.130 3.928 6.733
angles: 90.00 98.80 90.00
Atoms (fractional coordinates):
La (0.000, 0.000, 0.000)
Co (0.500, 0.000, 0.500)
Te (0.440, 0.500, 0.734)
Te (0.560, 0.500, 0.266)

Calculated values
VASP energy, eV per cell: -20.7
Crystal system: monoclinic
Raw formation energy, eV per atom: -0.584
ρ, g/cm3: 6.97

=====

No. 8
CeSm2H: optimized geometry, PBE-GGA.

abc: 9.675 9.675 9.675
angles: 20.65 20.65 20.65
Atoms (fractional coordinates):
Ce (0.000, 0.000, 0.000)
Sm (0.117, 0.117, 0.117)
Sm (0.883, 0.883, 0.883)
H (0.500, 0.500, 0.500)

Calculated values
VASP energy, eV per cell: -18.7
Crystal system: trigonal
ρ, g/cm3: 7.44